# V3O5F, PBEsol geometry, DFT meta-GGA SCAN
data_V3O5F
_chemical_formula_sum 'V6 O10 F2'
_space_group_name_H-M_alt 'P 1 m 1'
_space_group_IT_number 6
_space_group_name_Hall 'P -2y'
_cell_length_a 6.4561
_cell_length_b 2.8435
_cell_length_c 10.2660
_cell_angle_alpha 90.00
_cell_angle_beta 108.31
_cell_angle_gamma 90.00
loop_
_atom_site_label
_atom_site_fract_x
_atom_site_fract_y
_atom_site_fract_z
_atom_site_occupancy
V1 0.0000 0.0000 0.0000 1
V2 0.1410 0.5000 0.3265 1
V3 0.3063 0.0000 0.6514 1
V4 0.4588 0.5000 0.9806 1
V5 0.6319 0.0000 0.3032 1
V6 0.8165 0.5000 0.6748 1
O1 0.0745 0.0000 0.1910 1
O2 0.1056 0.5000 0.6584 1
O3 0.1826 0.5000 0.9929 1
O4 0.2098 0.0000 0.4573 1
O5 0.4127 0.0000 0.8534 1
O6 0.4431 0.5000 0.3212 1
O7 0.5130 0.5000 0.6564 1
O8 0.5468 0.0000 0.1180 1
O9 0.8401 0.5000 0.3250 1
O10 0.8796 0.0000 0.8003 1
F1 0.7426 0.0000 0.5245 1
F2 0.7765 0.5000 0.9923 1
# * E_form (uncorrected): -24.738 eV per formula unit
# * DOS(E_F): 6.29 states/eV/cell
# * relative energy among the computed polymorphs: 15.3 meV per atom